## MgGaI2N (GGA-PBEsol)

Data for a geometry-optimized MgGaI2N structure.

Lattice parameters (Å, degrees): 5.7956 5.7956 4.0898 90.00 90.00 90.00
With the nearest neighbours (Å) after each atom.
Sites, in units of the cell vectors:
Mg (0.0000, 0.0000, 0.0000)  2 N 2.04
Ga (0.5000, 0.5000, 0.5000)  8 I 3.55
I (0.0000, 0.5000, 0.0000)  2 Mg 2.90
I (0.5000, 0.0000, 0.0000)  2 Mg 2.90
N (0.0000, 0.0000, 0.5000)  2 Mg 2.04

Values from the calculation:
Formation energy from raw total energies, meV/atom: 162
Space group: P4/mmm (123)